1.
# Ti2ZnHRu PBEsol optimized geometry
# Total DFT energy (no corrections): -27.1 eV for the cell shown
data_Ti2ZnHRu
_chemical_formula_sum 'Ti2 Zn1 H1 Ru1'
_space_group_name_H-M_alt 'P 4/m m m'
_space_group_IT_number 123
_space_group_name_Hall '-P 4 2'
_cell_length_a 4.554
_cell_length_b 4.554
_cell_length_c 4.773
_cell_angle_alpha 90.00
_cell_angle_beta 90.00
_cell_angle_gamma 90.00
loop_
_atom_site_label
_atom_site_type_symbol
_atom_site_fract_x
_atom_site_fract_y
_atom_site_fract_z
Ti1 Ti 0.000 0.500 0.000
Zn1 Zn 0.000 0.000 0.500
H1 H 0.500 0.500 0.500
Ru1 Ru 0.000 0.000 0.000

2.
# BaFeAs2Ru PBEsol optimized geometry
# ΔH_f (0 K): -0.60 eV per atom
data_BaFeAs2Ru
_chemical_formula_sum 'Ba2 Fe2 As4 Ru2'
_space_group_name_H-M_alt 'I -4 m 2'
_space_group_IT_number 119
_space_group_name_Hall 'I -4 -2'
_cell_length_a 4.026
_cell_length_b 4.026
_cell_length_c 12.313
_cell_angle_alpha 90.00
_cell_angle_beta 90.00
_cell_angle_gamma 90.00
loop_
_atom_site_label
_atom_site_type_symbol
_atom_site_fract_x
_atom_site_fract_y
_atom_site_fract_z
Ba1 Ba 0.000 0.000 0.000
Fe1 Fe 0.000 0.500 0.750
As1 As 0.000 0.000 0.350
Ru1 Ru 0.000 0.500 0.250

3.
# TiCl3 PBEsol optimized geometry
# Raw formation energy: -1.59 eV per atom
data_TiCl3
_chemical_formula_sum 'Ti6 Cl18'
_space_group_name_H-M_alt 'P 3 1 2'
_space_group_IT_number 149
_cell_length_a 5.9087
_cell_length_b 5.9087
_cell_length_c 18.1924
_cell_angle_alpha 90.00
_cell_angle_beta 90.00
_cell_angle_gamma 120.00
loop_
_space_group_symop_operation_xyz
'x,y,z'
'-y,x-y,z'
'-x+y,-x,z'
'-y,-x,-z'
'-x+y,y,-z'
'x,x-y,-z'
loop_
_atom_site_label
_atom_site_type_symbol
_atom_site_fract_x
_atom_site_fract_y
_atom_site_fract_z
Ti1 Ti 0.0000 0.0000 0.0000
Ti2 Ti 0.0000 0.0000 0.3335
Ti3 Ti 0.3333 0.6667 0.3335
Ti4 Ti 0.6667 0.3333 0.0000
Cl1 Cl 0.0092 0.3335 0.2566
Cl2 Cl 0.0088 0.3333 0.5896
Cl3 Cl 0.3334 0.0092 0.9230

4.
# SrSc2Sb2 PBEsol optimized geometry
# Raw formation energy: -0.57 eV per atom
data_SrSc2Sb2
_chemical_formula_sum 'Sr2 Sc4 Sb4'
_space_group_name_H-M_alt 'I 4/m m m'
_space_group_IT_number 139
_space_group_name_Hall '-I 4 2'
_cell_length_a 5.444
_cell_length_b 5.444
_cell_length_c 10.218
_cell_angle_alpha 90.00
_cell_angle_beta 90.00
_cell_angle_gamma 90.00
loop_
_atom_site_label
_atom_site_type_symbol
_atom_site_fract_x
_atom_site_fract_y
_atom_site_fract_z
Sr1 Sr 0.000 0.000 0.000
Sc1 Sc 0.000 0.000 0.335
Sb1 Sb 0.000 0.500 0.250

5.
# Li3SbMo PBEsol optimized geometry
# Raw formation energy: 0.85 eV per atom
data_Li3SbMo
_chemical_formula_sum 'Li3 Sb1 Mo1'
_space_group_name_H-M_alt 'P m -3 m'
_space_group_IT_number 221
_space_group_name_Hall '-P 4 2 3'
_cell_length_a 5.049
_cell_length_b 5.049
_cell_length_c 5.049
_cell_angle_alpha 90.00
_cell_angle_beta 90.00
_cell_angle_gamma 90.00
loop_
_atom_site_label
_atom_site_type_symbol
_atom_site_fract_x
_atom_site_fract_y
_atom_site_fract_z
Li1 Li 0.000 0.000 0.500
Sb1 Sb 0.000 0.000 0.000
Mo1 Mo 0.500 0.500 0.500

6.
# Y2ZrTcAu PBEsol optimized geometry
# ΔH_f (0 K): 0.83 eV per atom
data_Y2ZrTcAu
_chemical_formula_sum 'Y2 Zr1 Tc1 Au1'
_space_group_name_H-M_alt 'P 4/m m m'
_space_group_IT_number 123
_space_group_name_Hall '-P 4 2'
_cell_length_a 5.239
_cell_length_b 5.239
_cell_length_c 4.938
_cell_angle_alpha 90.00
_cell_angle_beta 90.00
_cell_angle_gamma 90.00
loop_
_atom_site_label
_atom_site_type_symbol
_atom_site_fract_x
_atom_site_fract_y
_atom_site_fract_z
Y1 Y 0.000 0.500 0.000
Zr1 Zr 0.000 0.000 0.500
Tc1 Tc 0.500 0.500 0.500
Au1 Au 0.500 0.500 0.000

7.
# FeRhSe2 PBEsol optimized geometry
# Raw formation energy: -0.17 eV per atom
data_FeRhSe2
_chemical_formula_sum 'Fe1 Rh1 Se2'
_space_group_name_H-M_alt 'P 4 m m'
_space_group_IT_number 99
_cell_length_a 3.314
_cell_length_b 3.314
_cell_length_c 6.008
_cell_angle_alpha 90.00
_cell_angle_beta 90.00
_cell_angle_gamma 90.00
loop_
_space_group_symop_operation_xyz
'x,y,z'
'-y,x,z'
'-x,-y,z'
'y,-x,z'
'-x,y,z'
'y,x,z'
'x,-y,z'
'-y,-x,z'
loop_
_atom_site_label
_atom_site_type_symbol
_atom_site_fract_x
_atom_site_fract_y
_atom_site_fract_z
Fe1 Fe 0.000 0.000 0.000
Rh1 Rh 0.500 0.500 0.245
Se1 Se 0.000 0.000 0.392
Se2 Se 0.500 0.500 0.846

8.
# ZnSi2Cl PBEsol optimized geometry
# Raw formation energy: 0.28 eV per atom
# Polymorph energy (0 for the lowest one): 59.4 meV per atom
data_ZnSi2Cl
_chemical_formula_sum 'Zn1 Si2 Cl1'
_space_group_name_H-M_alt 'P 4/m m m'
_space_group_IT_number 123
_space_group_name_Hall '-P 4 2'
_cell_length_a 3.482
_cell_length_b 3.482
_cell_length_c 6.009
_cell_angle_alpha 90.00
_cell_angle_beta 90.00
_cell_angle_gamma 90.00
loop_
_atom_site_label
_atom_site_type_symbol
_atom_site_fract_x
_atom_site_fract_y
_atom_site_fract_z
Zn1 Zn 0.000 0.000 0.000
Si1 Si 0.000 0.500 0.500
Cl1 Cl 0.500 0.500 0.000

9.
# Be2OsPt PBEsol optimized geometry
# ΔH_f (0 K): -0.40 eV per atom
data_Be2OsPt
_chemical_formula_sum 'Be2 Os1 Pt1'
_space_group_name_H-M_alt 'P 4/m m m'
_space_group_IT_number 123
_space_group_name_Hall '-P 4 2'
_cell_length_a 3.999
_cell_length_b 3.999
_cell_length_c 2.734
_cell_angle_alpha 90.00
_cell_angle_beta 90.00
_cell_angle_gamma 90.00
loop_
_atom_site_label
_atom_site_type_symbol
_atom_site_fract_x
_atom_site_fract_y
_atom_site_fract_z
Be1 Be 0.000 0.500 0.000
Os1 Os 0.000 0.000 0.500
Pt1 Pt 0.500 0.500 0.500

10.
# Al2CrCd PBEsol optimized geometry
# ΔH_f (0 K): 0.09 eV per atom
data_Al2CrCd
_chemical_formula_sum 'Al2 Cr1 Cd1'
_space_group_name_H-M_alt 'P 4/m m m'
_space_group_IT_number 123
_space_group_name_Hall '-P 4 2'
_cell_length_a 2.906
_cell_length_b 2.906
_cell_length_c 7.635
_cell_angle_alpha 90.00
_cell_angle_beta 90.00
_cell_angle_gamma 90.00
loop_
_atom_site_label
_atom_site_type_symbol
_atom_site_fract_x
_atom_site_fract_y
_atom_site_fract_z
Al1 Al 0.000 0.000 0.203
Cr1 Cr 0.500 0.500 0.000
Cd1 Cd 0.500 0.500 0.500

11.
# Si2NiO PBEsol optimized geometry
# Raw formation energy: -0.44 eV per atom
data_Si2NiO
_chemical_formula_sum 'Si8 Ni4 O4'
_space_group_name_H-M_alt 'I -4 2 d'
_space_group_IT_number 122
_space_group_name_Hall 'I -4 2bw'
_cell_length_a 4.922
_cell_length_b 4.922
_cell_length_c 8.835
_cell_angle_alpha 90.00
_cell_angle_beta 90.00
_cell_angle_gamma 90.00
loop_
_atom_site_label
_atom_site_type_symbol
_atom_site_fract_x
_atom_site_fract_y
_atom_site_fract_z
Si1 Si 0.220 0.250 0.125
Ni1 Ni 0.000 0.000 0.500
O1 O 0.000 0.000 0.000

12.
# Ca2RhSe PBEsol optimized geometry
# Raw formation energy: -0.90 eV per atom
data_Ca2RhSe
_chemical_formula_sum 'Ca4 Rh2 Se2'
_space_group_name_H-M_alt 'A m m 2'
_space_group_IT_number 38
_cell_length_a 4.181
_cell_length_b 4.000
_cell_length_c 10.577
_cell_angle_alpha 90.00
_cell_angle_beta 90.00
_cell_angle_gamma 90.00
loop_
_space_group_symop_operation_xyz
'x,y,z'
'-x,-y,z'
'-x,y,z'
'x,-y,z'
'x,y+1/2,z+1/2'
'-x,-y+1/2,z+1/2'
'-x,y+1/2,z+1/2'
'x,-y+1/2,z+1/2'
loop_
_atom_site_label
_atom_site_type_symbol
_atom_site_fract_x
_atom_site_fract_y
_atom_site_fract_z
Ca1 Ca 0.000 0.000 0.000
Ca2 Ca 0.500 0.000 0.280
Rh1 Rh 0.000 0.000 0.712
Se1 Se 0.500 0.000 0.568

13.
# KAlInI2 PBEsol optimized geometry
# Raw formation energy: 0.06 eV per atom
data_KAlInI2
_chemical_formula_sum 'K1 Al1 In1 I2'
_space_group_name_H-M_alt 'P 4/m m m'
_space_group_IT_number 123
_space_group_name_Hall '-P 4 2'
_cell_length_a 5.863
_cell_length_b 5.863
_cell_length_c 6.115
_cell_angle_alpha 90.00
_cell_angle_beta 90.00
_cell_angle_gamma 90.00
loop_
_atom_site_label
_atom_site_type_symbol
_atom_site_fract_x
_atom_site_fract_y
_atom_site_fract_z
K1 K 0.000 0.000 0.000
Al1 Al 0.000 0.000 0.500
In1 In 0.500 0.500 0.000
I1 I 0.000 0.500 0.500

14.
# CaTi4Cu3O12 PBEsol optimized geometry
# Raw formation energy: -2.32 eV per atom
data_CaTi4Cu3O12
_chemical_formula_sum 'Ca2 Ti8 Cu6 O24'
_space_group_name_H-M_alt 'I m -3'
_space_group_IT_number 204
_space_group_name_Hall '-I 2 2 3'
_cell_length_a 7.369
_cell_length_b 7.369
_cell_length_c 7.369
_cell_angle_alpha 90.00
_cell_angle_beta 90.00
_cell_angle_gamma 90.00
loop_
_atom_site_label
_atom_site_type_symbol
_atom_site_fract_x
_atom_site_fract_y
_atom_site_fract_z
Ca1 Ca 0.000 0.000 0.000
Ti1 Ti 0.250 0.250 0.250
Cu1 Cu 0.000 0.000 0.500
O1 O 0.000 0.176 0.304

15.
# Li2TlMo PBEsol optimized geometry
# ΔH_f (0 K): 0.78 eV per atom
# Polymorph energy (0 for the lowest one): 301.1 meV per atom
data_Li2TlMo
_chemical_formula_sum 'Li8 Tl4 Mo4'
_space_group_name_H-M_alt 'I -4 2 d'
_space_group_IT_number 122
_space_group_name_Hall 'I -4 2bw'
_cell_length_a 7.241
_cell_length_b 7.241
_cell_length_c 5.527
_cell_angle_alpha 90.00
_cell_angle_beta 90.00
_cell_angle_gamma 90.00
loop_
_atom_site_label
_atom_site_type_symbol
_atom_site_fract_x
_atom_site_fract_y
_atom_site_fract_z
Li1 Li 0.245 0.250 0.125
Tl1 Tl 0.000 0.000 0.000
Mo1 Mo 0.000 0.000 0.500

16.
# LiNi4Pb PBEsol optimized geometry
# ΔH_f (0 K): -0.01 eV per atom
data_LiNi4Pb
_chemical_formula_sum 'Li4 Ni16 Pb4'
_space_group_name_H-M_alt 'F -4 3 m'
_space_group_IT_number 216
_space_group_name_Hall 'F -4 2 3'
_cell_length_a 6.776
_cell_length_b 6.776
_cell_length_c 6.776
_cell_angle_alpha 90.00
_cell_angle_beta 90.00
_cell_angle_gamma 90.00
loop_
_atom_site_label
_atom_site_type_symbol
_atom_site_fract_x
_atom_site_fract_y
_atom_site_fract_z
Li1 Li 0.000 0.000 0.000
Ni1 Ni 0.125 0.125 0.375
Pb1 Pb 0.250 0.250 0.750

17.
# Li4TaPb PBEsol optimized geometry
# ΔH_f (0 K): 0.39 eV per atom
data_Li4TaPb
_chemical_formula_sum 'Li16 Ta4 Pb4'
_space_group_name_H-M_alt 'F -4 3 m'
_space_group_IT_number 216
_space_group_name_Hall 'F -4 2 3'
_cell_length_a 7.356
_cell_length_b 7.356
_cell_length_c 7.356
_cell_angle_alpha 90.00
_cell_angle_beta 90.00
_cell_angle_gamma 90.00
loop_
_atom_site_label
_atom_site_type_symbol
_atom_site_fract_x
_atom_site_fract_y
_atom_site_fract_z
Li1 Li 0.123 0.123 0.123
Ta1 Ta 0.250 0.250 0.750
Pb1 Pb 0.000 0.000 0.500

18.
# Mg3TiF PBEsol optimized geometry
# Raw formation energy: 0.75 eV per atom
# Polymorph energy (0 for the lowest one): 1345.5 meV per atom
data_Mg3TiF
_chemical_formula_sum 'Mg3 Ti1 F1'
_space_group_name_H-M_alt 'P m -3 m'
_space_group_IT_number 221
_space_group_name_Hall '-P 4 2 3'
_cell_length_a 5.500
_cell_length_b 5.500
_cell_length_c 5.500
_cell_angle_alpha 90.00
_cell_angle_beta 90.00
_cell_angle_gamma 90.00
loop_
_atom_site_label
_atom_site_type_symbol
_atom_site_fract_x
_atom_site_fract_y
_atom_site_fract_z
Mg1 Mg 0.000 0.000 0.500
Ti1 Ti 0.000 0.000 0.000
F1 F 0.500 0.500 0.500

19.
# BiWAu3 PBEsol optimized geometry
# ΔH_f (0 K): 1.13 eV per atom
data_BiWAu3
_chemical_formula_sum 'Bi1 W1 Au3'
_space_group_name_H-M_alt 'P m -3 m'
_space_group_IT_number 221
_space_group_name_Hall '-P 4 2 3'
_cell_length_a 4.973
_cell_length_b 4.973
_cell_length_c 4.973
_cell_angle_alpha 90.00
_cell_angle_beta 90.00
_cell_angle_gamma 90.00
loop_
_atom_site_label
_atom_site_type_symbol
_atom_site_fract_x
_atom_site_fract_y
_atom_site_fract_z
Bi1 Bi 0.000 0.000 0.000
W1 W 0.500 0.500 0.500
Au1 Au 0.000 0.500 0.500

20.
# NaBrO3 PBEsol optimized geometry
# Raw formation energy: -0.59 eV per atom
data_NaBrO3
_chemical_formula_sum 'Na4 Br4 O12'
_space_group_name_H-M_alt 'P 21 3'
_space_group_IT_number 198
_space_group_name_Hall 'P 2ac 2ab 3'
_cell_length_a 6.666
_cell_length_b 6.666
_cell_length_c 6.666
_cell_angle_alpha 90.00
_cell_angle_beta 90.00
_cell_angle_gamma 90.00
loop_
_atom_site_label
_atom_site_type_symbol
_atom_site_fract_x
_atom_site_fract_y
_atom_site_fract_z
Na1 Na 0.078 0.078 0.078
Br1 Br 0.097 0.597 0.903
O1 O 0.010 0.217 0.403

Q: Which size of the total moment values were calculated for the entries above? A: 0.0 0.0 1.0 0.0 5.5 0.2 1.9 0.0 0.0 2.2 0.0 0.0 0.0 2.9 2.7 0.0 2.4 2.9 0.0 0.0, in μB/f.u..
Q: Which D(E_F) values were calculated for the entries above? A: 1.025 0.545 0.717 0.720 0.325 1.571 0.933 0.404 0.604 0.433 0.201 0.957 0.774 0.155 0.780 0.745 0.759 1.925 0.817 0.000, in states/eV per atom.